Computed, not measured: crystalline TbPr3Nd5 at its relaxed geometry at the GGA-PBE level of DFT.

```
TbPr3Nd5
1.0
-2.974 6.362 -1.040
-6.799 -1.060 -1.745
-4.397 0.996 13.358
Pr Nd Tb
6 10 2
Direct
0.000 0.000 0.500
0.642 0.642 0.493
0.358 0.358 0.507
0.000 0.000 0.000
0.235 0.235 0.117
0.765 0.765 0.883
0.744 0.744 0.121
0.489 0.489 0.257
0.675 0.325 0.000
0.325 0.675 0.000
0.989 0.557 0.668
0.256 0.256 0.879
0.511 0.511 0.743
0.011 0.443 0.332
0.443 0.011 0.332
0.557 0.989 0.668
0.973 0.973 0.248
0.027 0.027 0.752
```

Summary:
crystal system: monoclinic
E_form: 334 meV per atom
E: -79.61 eV per cell
magnetization: 0.00 μB per formula unit



Computed, not measured: crystalline Hf3Ti2Co2 at its relaxed geometry at the GGA-PBE level of DFT.

```
Hf3Ti2Co2
1.0
-0.620 3.040 -0.451
0.301 -2.308 -5.072
-7.171 -0.952 3.449
Ti Hf Co
2 3 2
Direct
0.164 0.328 0.824
0.836 0.672 0.176
0.389 0.777 0.564
0.500 0.000 0.000
0.611 0.223 0.436
0.820 0.641 0.771
0.180 0.359 0.229
```

Summary:
crystal system: monoclinic
E_form: -191 meV per atom
E: -61.20 eV per cell
magnetization: 0.00 μB per formula unit



Computed, not measured: crystalline ThHICl at its relaxed geometry at the GGA-PBE level of DFT.

```
ThHICl
1.0
4.079 0.000 0.000
2.040 3.534 0.005
2.040 1.164 8.240
Cl I Th H
1 1 1 1
Direct
0.995 0.281 0.729
0.524 0.808 0.143
0.099 0.383 0.419
0.760 0.044 0.436
```

Summary:
crystal system: trigonal
E: -18.47 eV per cell
magnetization: 1.00 μB per formula unit



Computed, not measured: crystalline Sr6RhAu at its relaxed geometry at the GGA-PBE level of DFT.

```
Sr6RhAu
1.0
-0.807 -5.513 4.964
6.508 0.775 -3.567
0.610 5.781 4.784
Sr Rh Au
6 1 1
Direct
0.573 0.895 0.741
0.254 0.254 0.739
0.895 0.573 0.741
0.105 0.427 0.259
0.746 0.746 0.261
0.427 0.105 0.259
0.500 0.500 0.500
0.000 0.000 0.000
```

Summary:
crystal system: monoclinic
E_form: -324 meV per atom
E: -23.31 eV per cell
magnetization: 0.00 μB per formula unit



Computed, not measured: crystalline CaSnIr3 at its relaxed geometry at the GGA-PBE level of DFT.

```
CaSnIr3
1.0
-1.076 4.649 1.150
-3.457 0.062 -3.484
-3.315 -1.574 3.260
Ca Sn Ir
1 1 3
Direct
0.500 0.500 0.500
0.000 0.000 0.000
0.000 0.500 0.000
0.500 0.000 0.000
0.000 0.000 0.500
```

Summary:
crystal system: cubic
E_form: 946 meV per atom
energy above the most stable polymorph in this dataset: 0.000 eV/f.u.
E: -27.86 eV per cell
magnetization: 0.00 μB per formula unit



Computed, not measured: crystalline VHg2HI at its relaxed geometry at the GGA-PBE level of DFT.

```
VHg2HI
1.0
-4.943 3.923 0.424
-1.878 -2.557 1.769
2.210 2.188 5.508
V Hg I H
1 2 1 1
Direct
0.500 0.500 0.500
0.000 0.000 0.500
0.500 0.000 0.000
0.000 0.000 0.000
0.000 0.500 0.000
```

Summary:
crystal system: tetragonal
E: -10.10 eV per cell
magnetization: 4.09 μB per formula unit



Computed, not measured: crystalline Ga2Co2Os at its relaxed geometry at the GGA-PBE level of DFT.

```
Ga2Co2Os
1.0
6.866 0.000 0.000
0.000 6.866 0.000
0.000 0.000 2.680
Co Os Ga
4 2 4
Direct
0.664 0.836 0.500
0.836 0.336 0.500
0.336 0.164 0.500
0.164 0.664 0.500
0.500 0.500 0.000
0.000 0.000 0.000
0.136 0.364 0.000
0.364 0.864 0.000
0.864 0.636 0.000
0.636 0.136 0.000
```

Summary:
crystal system: tetragonal
E_form: 39 meV per atom
energy above the most stable polymorph in this dataset: 0.000 eV/f.u.
E: -62.60 eV per cell
magnetization: 0.00 μB per formula unit



Computed, not measured: crystalline Pr7NCl12 at its relaxed geometry at the GGA-PBE level of DFT.

```
Pr7NCl12
1.0
-7.171 1.139 5.189
0.224 -8.589 -2.414
7.214 1.564 5.016
Cl Pr N
12 7 1
Direct
0.776 0.922 0.314
0.224 0.078 0.686
0.470 0.155 0.384
0.530 0.845 0.616
0.314 0.776 0.922
0.922 0.314 0.776
0.155 0.384 0.470
0.078 0.686 0.224
0.616 0.530 0.845
0.384 0.470 0.155
0.686 0.224 0.078
0.845 0.616 0.530
0.970 0.689 0.892
0.892 0.970 0.689
0.500 0.500 0.500
0.689 0.892 0.970
0.030 0.311 0.108
0.311 0.108 0.030
0.108 0.030 0.311
0.000 0.000 0.000
```

Summary:
crystal system: trigonal
E: -103.82 eV per cell
E_form (uncorrected): -1994 meV per atom
magnetization: 0.00 μB per formula unit



Computed, not measured: crystalline K2HoRe2N6 at its relaxed geometry at the GGA-PBE level of DFT.

```
K2HoRe2N6
1.0
-0.087 2.869 -5.571
-4.978 -3.355 1.875
1.171 6.508 3.333
Ho Re N K
1 2 6 2
Direct
0.500 0.000 0.500
0.945 0.889 0.788
0.055 0.111 0.212
0.246 0.492 0.323
0.228 0.978 0.263
0.750 0.978 0.263
0.250 0.022 0.737
0.772 0.022 0.737
0.754 0.508 0.677
0.716 0.433 0.186
0.284 0.567 0.814
```

Summary:
crystal system: monoclinic
E: -85.60 eV per cell
E_form (uncorrected): -362 meV per atom
magnetization: 0.87 μB per formula unit



Computed, not measured: crystalline In2Rh at its relaxed geometry at the GGA-PBE level of DFT.

```
In2Rh
1.0
6.814 0.112 -0.002
6.074 3.090 -0.002
0.002 0.000 6.699
In Rh
4 2
Direct
0.643 0.643 0.294
0.390 0.390 0.334
0.888 0.888 0.833
0.634 0.634 0.794
0.253 0.253 0.039
0.024 0.024 0.539
```

Summary:
crystal system: orthorhombic
E_form: -282 meV per atom
E: -27.35 eV per cell
magnetization: 0.00 μB per formula unit



Computed, not measured: crystalline PaO at its relaxed geometry at the GGA-PBE level of DFT.

```
PaO
1.0
-0.591 2.371 2.492
-3.171 1.419 0.343
-1.989 -0.817 2.750
Pa O
1 1
Direct
0.500 0.500 0.500
0.000 0.000 0.000
```

Summary:
crystal system: cubic
E: -19.33 eV per cell
E_form (uncorrected): -2437 meV per atom
magnetization: 0.55 μB per formula unit



Computed, not measured: crystalline Tb6HoSc8 at its relaxed geometry at the GGA-PBE level of DFT.

```
Tb6HoSc8
1.0
-0.065 1.108 -9.132
-0.104 -7.355 -5.525
-5.814 -2.036 -4.839
Tb Sc Ho
6 8 1
Direct
0.621 0.430 0.778
0.430 0.171 0.778
0.570 0.829 0.222
0.829 0.379 0.222
0.379 0.570 0.222
0.171 0.621 0.778
0.621 0.128 0.298
0.769 0.769 0.692
0.231 0.231 0.308
0.953 0.621 0.298
0.047 0.379 0.702
0.872 0.047 0.702
0.379 0.872 0.702
0.128 0.953 0.298
0.000 0.000 0.000
```

Summary:
crystal system: trigonal
E_form: 191 meV per atom
E: -80.14 eV per cell
magnetization: 0.00 μB per formula unit